VASP calculation (PBE) on BeTcBi2Te after structural relaxation. Values from VASP.

```
&SYSTEM
  ibrav = 0, nat = 5, ntyp = 4
/
ATOMIC_SPECIES
Be 9.01 Be.upf
Te 127.60 Te.upf
Bi 208.98 Bi.upf
Tc 98.00 Tc.upf
CELL_PARAMETERS angstrom
-3.514 3.724 1.297
0.621 -0.863 4.160
3.869 3.592 0.168
ATOMIC_POSITIONS angstrom
Be 0.000 0.000 0.000
Te 0.488 3.226 2.812
Bi 1.934 1.796 0.084
Bi -1.757 1.862 0.648
Tc 0.310 -0.432 2.080
```

Calculated values
The total magnetic moment comes out at 1.3 μB/f.u. Its density of states at the Fermi level is 4.65 states/eV per cell. The energy relative to the elements, uncorrected is 0.786 eV per atom. The calculation puts the calculated total energy at -4.213 eV/atom.